Below is NaCuNiO2 after structural relaxation, with properties calculated at the PBE with a Hubbard U level.

Lattice parameters (Å, degrees): 4.6787 5.4170 5.7074 99.14 90.00 90.00
With the nearest neighbours (Å) after each atom.
Positions (direct):
Ni: 0.4540 0.0000 0.2500  4 O 2.01-2.02
Ni: 0.5460 0.0000 0.7500  4 O 2.01-2.02
Na: 0.3273 0.5000 0.7500  4 O 2.33-2.55
Na: 0.6727 0.5000 0.2500  4 O 2.33-2.55
O: 0.3176 0.2072 0.0082  1 Cu 1.86, 2 Ni 2.01-2.02
O: 0.6824 0.2072 0.5082  1 Cu 1.86, 2 Ni 2.01-2.02
O: 0.3176 0.7928 0.4918  1 Cu 1.86, 2 Ni 2.01-2.02
O: 0.6824 0.7928 0.9918  1 Cu 1.86, 2 Ni 2.01-2.02
Cu: 0.0000 0.0000 0.0000  2 O 1.86
Cu: 0.0000 0.0000 0.5000  2 O 1.86

Computed properties:
E	-44.58	eV for the cell shown